A plane-wave DFT calculation with PBE was carried out for LiCuTc2 after structural relaxation.

a b c (Å): 2.6753 3.8529 5.3711
angles (deg): 90.00 90.00 90.00
Closest atoms and distances in Å follow each position.
Sites, in units of the cell vectors:
Tc: 0.5000 0.5000 0.2310  6 Tc 2.60-2.68, 2 Li 2.68-2.69, 4 Cu 2.81
Li: 0.5000 0.5000 0.7301  4 Cu 2.61, 2 Li 2.68, 6 Tc 2.68-2.82
Cu: 0.0000 0.0000 0.5181  4 Li 2.61, 6 Tc 2.67-2.81, 2 Cu 2.68
Tc: 0.0000 0.0000 0.0208  6 Tc 2.60-2.68, 2 Cu 2.67-2.70, 4 Li 2.82

Theoretical density, Mg/m³: 7.993
SG: Pmm2
Excess energy over the best structure of this formula in the dataset, kJ/mol of formula units: 24
M_tot, μB/f.u.: 0.0


A plane-wave DFT calculation with PBE was carried out for Li3CuTe after structural relaxation.

a b c (Å): 5.1875 5.1875 5.1875
angles (deg): 90.00 90.00 90.00
Closest atoms and distances in Å follow each position.
Sites, in units of the cell vectors:
Te: 0.0000 0.0000 0.0000  6 Li 2.59
Li: 0.0000 0.0000 0.5000  2 Te 2.59
Li: 0.0000 0.5000 0.0000  2 Te 2.59
Cu: 0.5000 0.5000 0.5000  12 Li 3.67
Li: 0.5000 0.0000 0.0000  2 Te 2.59

Theoretical density, Mg/m³: 2.521
Uncorrected formation energy, meV per atom: -168
SG: Pm-3m
Excess energy over the best structure of this formula in the dataset, kJ/mol of formula units: 31
M_tot, μB/f.u.: 0.0


A plane-wave DFT calculation with PBE was carried out for LiCuTe after structural relaxation.

a b c (Å): 4.7090 4.7090 4.7090
angles (deg): 132.06 132.06 70.14
Closest atoms and distances in Å follow each position.
Sites, in units of the cell vectors:
Li: 0.3274 0.3274 0.0000  1 Cu 2.48, 1 Te 2.62
Cu: 0.0059 0.0059 0.0000  1 Li 2.48, 1 Te 2.61
Te: 0.6667 0.6667 0.0000  1 Cu 2.61, 1 Li 2.62

Theoretical density, Mg/m³: 5.829
Uncorrected formation energy, meV per atom: -270
SG: I4mm
M_tot, μB/f.u.: 0.0


A plane-wave DFT calculation with PBE was carried out for LiCu2Te after structural relaxation.

a b c (Å): 4.4759 3.0585 5.1624
angles (deg): 100.76 90.00 90.00
Closest atoms and distances in Å follow each position.
Sites, in units of the cell vectors:
Li: 0.5000 0.2500 0.2500  4 Cu 2.62, 2 Te 2.74
Cu: 0.0000 0.8963 0.0462  2 Cu 2.44-2.72, 2 Li 2.62, 2 Te 2.70
Te: 0.5000 0.7500 0.7500  4 Cu 2.70, 2 Li 2.74
Cu: 0.0000 0.6037 0.4538  2 Cu 2.44-2.72, 2 Li 2.62, 2 Te 2.70

Theoretical density, Mg/m³: 6.257
Uncorrected formation energy, meV per atom: -55
SG: P2/m
M_tot, μB/f.u.: 0.0


A plane-wave DFT calculation with PBE was carried out for LiCu2Te after structural relaxation.

a b c (Å): 3.9470 3.9470 9.4104
angles (deg): 77.89 77.89 90.00
Closest atoms and distances in Å follow each position.
Sites, in units of the cell vectors:
Te: 0.0000 0.0000 0.0000  4 Cu 2.65, 4 Li 2.79
Cu: 0.1295 0.6250 0.2500  2 Li 2.64, 2 Te 2.65, 4 Cu 2.77-2.82
Li: 0.2500 0.7500 0.5000  4 Cu 2.64, 4 Te 2.79
Cu: 0.6205 0.1250 0.2500  2 Li 2.64, 2 Te 2.65, 4 Cu 2.77-2.82
Cu: 0.8750 0.8705 0.7500  2 Li 2.64, 2 Te 2.65, 4 Cu 2.77-2.82
Te: 0.7500 0.2500 0.5000  4 Cu 2.65, 4 Li 2.79
Li: 0.5000 0.5000 0.0000  4 Cu 2.64, 4 Te 2.79
Cu: 0.3750 0.3795 0.7500  2 Li 2.64, 2 Te 2.65, 4 Cu 2.77-2.82

Theoretical density, Mg/m³: 6.206
Uncorrected formation energy, meV per atom: -4
SG: I-42d
M_tot, μB/f.u.: 0.0


A plane-wave DFT calculation with PBE was carried out for LiCuTe2 after structural relaxation.

a b c (Å): 5.8456 5.8456 3.1924
angles (deg): 68.08 68.08 81.64
Closest atoms and distances in Å follow each position.
Sites, in units of the cell vectors:
Te: 0.5000 0.5000 0.0000  2 Li 2.76, 2 Cu 2.76
Cu: 0.5000 0.0000 0.5000  4 Te 2.76
Te: 0.0000 0.0000 0.0000  2 Cu 2.76, 2 Li 2.76
Li: 0.0000 0.5000 0.5000  4 Te 2.76

Theoretical density, Mg/m³: 5.760
Uncorrected formation energy, meV per atom: -181
SG: C2/m
M_tot, μB/f.u.: 0.0


A plane-wave DFT calculation with PBE was carried out for Li3CuTe after structural relaxation.

a b c (Å): 4.6540 4.6540 4.6540
angles (deg): 90.00 90.00 90.00
Closest atoms and distances in Å follow each position.
Sites, in units of the cell vectors:
Cu: 0.0000 0.0000 0.0000  6 Li 2.33
Te: 0.5000 0.5000 0.5000  12 Li 3.29
Li: 0.5000 0.0000 0.0000  2 Cu 2.33
Li: 0.0000 0.0000 0.5000  2 Cu 2.33
Li: 0.0000 0.5000 0.0000  2 Cu 2.33

Theoretical density, Mg/m³: 3.492
Uncorrected formation energy, meV per atom: -232
SG: Pm-3m
Excess energy over the best structure of this formula in the dataset, kJ/mol of formula units: 0
M_tot, μB/f.u.: 0.0


A plane-wave DFT calculation with PBE was carried out for LiCuTe2 after structural relaxation.

a b c (Å): 3.8829 3.2084 7.6875
angles (deg): 78.53 90.00 90.00
Closest atoms and distances in Å follow each position.
Sites, in units of the cell vectors:
Te: 0.0000 0.2549 0.4898  2 Cu 2.68
Li: 0.5000 0.7500 0.7500  4 Te 3.02, 2 Li 3.21
Te: 0.0000 0.2451 0.0102  2 Cu 2.68
Cu: 0.5000 0.2500 0.2500  4 Te 2.68

Theoretical density, Mg/m³: 5.762
Uncorrected formation energy, meV per atom: -234
SG: P2/m
M_tot, μB/f.u.: 0.0